HfTcS2 | Alexandria via LeMat-Bulk | PBE-GGA | relaxed; final energy = -7.67 eV/atom; space-group type = Fm-3m; polymorph energy (0 for the lowest one) = 0.0467 eV/atom; spin magnetization = 0.000 μB per formula unit; density of states at the Fermi level = 2.4 states/eV/f.u.
1.0
0.000 3.105 3.105
3.105 0.000 3.105
3.105 3.105 0.000
Hf Tc S
1 1 2
direct
0.000 0.000 0.000
0.500 0.500 0.500
0.250 0.250 0.250
0.750 0.750 0.750